1.
VCrCuPt, optimized geometry, DFT PBE-GGA; raw total energy = -7.32 eV/atom
1.0
4.2482 0.0000 0.0000
2.1241 3.6790 0.0000
2.1241 1.2263 3.4686
V Cu Cr Pt
1 1 1 1
Cartesian
0.0000 0.0000 0.0000
4.2482 2.4527 1.7343
6.3723 3.6790 2.6015
2.1241 1.2263 0.8672

=====

2.
SrGaS3, optimized geometry, DFT PBE-GGA; raw formation energy = 11.4 kJ/mol of atoms
1.0
5.6429 0.0000 0.0000
0.0000 5.6429 0.0000
0.0000 0.0000 5.6429
S Sr Ga
3 1 1
Cartesian
0.0000 0.0000 2.8214
0.0000 2.8214 0.0000
2.8214 0.0000 0.0000
0.0000 0.0000 0.0000
2.8214 2.8214 2.8214

=====

3.
Ta2MnWN, optimized geometry, DFT PBE-GGA; raw formation energy = -29.6 kJ/mol of atoms
1.0
-0.1112 2.7243 3.4489
-3.1964 1.2324 -1.0765
-2.0003 -3.1033 2.3869
Mn N Ta W
1 1 2 1
Cartesian
-1.5982 0.6162 -0.5383
0.0000 0.0000 0.0000
-1.0002 -1.5516 1.1934
-0.0556 1.3622 1.7244
-2.6540 0.4267 2.3796